Below is a relaxed structure of Nd2Ga2GeRh5, with properties calculated at the PBE level.

It has space group P4/mbm (No. 127), with a = 9.906 Å, b = 9.906 Å, c = 3.555 Å, α = 90.00°, β = 90.00° and γ = 90.00°. Symmetry generates all atoms from Nd at (0.174, 0.326, 0.000), Ga at (0.124, 0.624, 0.000), Ge at (0.000, 0.000, 0.000), Rh at (0.000, 0.500, 0.500) and Rh at (0.065, 0.798, 0.500).

For the total energy, the calculation gives -128.0 eV per cell.

---

Below is a relaxed structure of Nd2GaGeRh, with properties calculated at the PBE level.

It has space group P4/nmm (No. 129, origin choice 2), with a = 4.298 Å, b = 4.298 Å, c = 13.500 Å, α = 90.00°, β = 90.00° and γ = 90.00°. Symmetry generates all atoms from Nd at (0.250, 0.250, 0.112), Nd at (0.250, 0.250, 0.667), Ga at (0.250, 0.250, 0.399), Ge at (0.250, 0.250, 0.887) and Rh at (0.250, 0.750, 0.500).

For the total energy, the calculation gives -56.3 eV per cell.

---

Below is a relaxed structure of NdGa2GeRh, with properties calculated at the PBE level.

It has space group Imm2 (No. 44), with a = 4.062 Å, b = 4.167 Å, c = 11.111 Å, α = 90.00°, β = 90.00° and γ = 90.00°. Symmetry generates all atoms from Nd at (0.000, 0.000, 0.000), Ga at (0.000, 0.000, 0.382), Ga at (0.000, 0.500, 0.252), Ge at (0.000, 0.000, 0.609) and Rh at (0.000, 0.500, 0.742).

For the total energy, the calculation gives -52.1 eV per cell.

---

Below is a relaxed structure of NdGaGeRh3, with properties calculated at the PBE level.

It has space group Cmcm (No. 63), with a = 5.660 Å, b = 15.474 Å, c = 5.668 Å, α = 90.00°, β = 90.00° and γ = 90.00°. Symmetry generates all atoms from Nd at (0.000, 0.208, 0.250), Ga at (0.000, 0.098, 0.750), Ge at (0.000, 0.413, 0.750), Rh at (0.000, 0.257, 0.750) and Rh at (0.243, 0.000, 0.000).

For the total energy, the calculation gives -150.1 eV per cell.